Entry 1:
Density functional theory data (PBE-GGA) for a geometry-optimized MnNbBi3 structure.

Structure (CIF):
```
data_MnNbBi3
_cell_length_a 5.2132
_cell_length_b 5.2132
_cell_length_c 5.2132
_cell_angle_alpha 90.00
_cell_angle_beta 90.00
_cell_angle_gamma 90.00
_space_group_name_H-M_alt 'P m -3 m'
_space_group_IT_number 221
_space_group_name_Hall '-P 4 2 3'
loop_
_atom_site_label
_atom_site_type_symbol
_atom_site_fract_x
_atom_site_fract_y
_atom_site_fract_z
Mn1 Mn 0.0000 0.0000 0.0000
Nb1 Nb 0.5000 0.5000 0.5000
Bi1 Bi 0.0000 0.0000 0.5000
```

## Properties
Relative energy among the computed polymorphs = 91 meV per atom
Formation energy from the elements = 0.904 eV per atom

Entry 2:
Density functional theory data (PBE-GGA) for a geometry-optimized MnNb2ReBi structure.

Structure (CIF):
```
data_MnNb2ReBi
_cell_length_a 4.5767
_cell_length_b 4.5767
_cell_length_c 4.7442
_cell_angle_alpha 90.00
_cell_angle_beta 90.00
_cell_angle_gamma 90.00
_space_group_name_H-M_alt 'P 4/m m m'
_space_group_IT_number 123
_space_group_name_Hall '-P 4 2'
loop_
_atom_site_label
_atom_site_type_symbol
_atom_site_fract_x
_atom_site_fract_y
_atom_site_fract_z
Mn1 Mn 0.0000 0.0000 0.0000
Nb1 Nb 0.0000 0.5000 0.0000
Re1 Re 0.5000 0.5000 0.5000
Bi1 Bi 0.0000 0.0000 0.5000
```

## Properties
Formation energy from the elements = 1.297 eV per atom

Entry 3:
Density functional theory data (PBE-GGA) for a geometry-optimized MnNbSn2Bi structure.

Structure (CIF):
```
data_MnNbSn2Bi
_cell_length_a 5.7345
_cell_length_b 5.7345
_cell_length_c 4.9126
_cell_angle_alpha 90.00
_cell_angle_beta 90.00
_cell_angle_gamma 90.00
_space_group_name_H-M_alt 'P 4/m m m'
_space_group_IT_number 123
_space_group_name_Hall '-P 4 2'
loop_
_atom_site_label
_atom_site_type_symbol
_atom_site_fract_x
_atom_site_fract_y
_atom_site_fract_z
Mn1 Mn 0.0000 0.0000 0.0000
Nb1 Nb 0.5000 0.5000 0.0000
Sn1 Sn 0.0000 0.5000 0.5000
Bi1 Bi 0.0000 0.0000 0.5000
```

## Properties
Formation energy from the elements = 1.635 eV per atom